Below is a geometry-optimized ZnFeIO2 structure, with properties calculated at the PBE+U level. Values from VASP.

Geometry as Quantum ESPRESSO input:
```
&SYSTEM
  ibrav = 0, nat = 5, ntyp = 4
/
ATOMIC_SPECIES
Zn 65.41 Zn.upf
Fe 55.84 Fe.upf
I 126.90 I.upf
O 16.00 O.upf
CELL_PARAMETERS angstrom
3.948 0.000 0.000
0.000 3.948 0.000
0.000 0.000 5.808
ATOMIC_POSITIONS angstrom
Zn 0.000 0.000 0.000
Fe 1.974 1.974 2.904
I 0.000 0.000 2.904
O 0.000 1.974 0.000
O 1.974 0.000 0.000
```

Summary:
- offset from the most stable computed form (meV per atom) = 379
- SG = P4/mmm (123)
- spin magnetization (Bohr magnetons per cell) = 5.08